Record 1
Compound: Dy4Er3Tm5
Source: Alexandria
Functional: PBE-GGA
Structure: optimized geometry

CIF file:
```
data_Dy4Er3Tm5
_cell_length_a 15.806
_cell_length_b 5.799
_cell_length_c 9.165
_cell_angle_alpha 90.00
_cell_angle_beta 116.52
_cell_angle_gamma 90.00
_symmetry_space_group_name_H-M 'C 1 2/m 1'
_symmetry_Int_Tables_number 12
_symmetry_space_group_name_Hall '-C 2y'
loop_
_atom_site_label
_atom_site_fract_x
_atom_site_fract_y
_atom_site_fract_z
_atom_site_occupancy
Dy1 0.081 0.000 0.441 1
Dy2 0.214 0.000 0.879 1
Er1 0.000 0.500 0.000 1
Er2 0.211 0.000 0.234 1
Tm1 0.000 0.000 0.000 1
Tm2 0.072 0.500 0.701 1
Tm3 0.172 0.500 0.385 1
```

Calculated values
* offset from the most stable computed form: 228.4 meV/atom
* E_tot: -0.315 Ry per atom

=====

Record 2
Compound: Dy5ErTm2
Source: Alexandria
Functional: PBE-GGA
Structure: optimized geometry

CIF file:
```
data_Dy5ErTm2
_cell_length_a 7.034
_cell_length_b 14.068
_cell_length_c 4.967
_cell_angle_alpha 90.00
_cell_angle_beta 90.00
_cell_angle_gamma 90.00
_symmetry_space_group_name_H-M 'P b a m'
_symmetry_Int_Tables_number 55
_symmetry_space_group_name_Hall '-P 2 2ab'
loop_
_atom_site_label
_atom_site_fract_x
_atom_site_fract_y
_atom_site_fract_z
_atom_site_occupancy
Dy1 0.000 0.000 0.000 1
Dy2 0.000 0.250 0.000 1
Dy3 0.250 0.125 0.500 1
Er1 0.000 0.500 0.000 1
Tm1 0.250 0.375 0.500 1
```

Calculated values
* offset from the most stable computed form: 0.0 meV/atom
* E_tot: -0.334 Ry per atom

=====

Record 3
Compound: Dy5ErTm
Source: Alexandria
Functional: PBE-GGA
Structure: optimized geometry

CIF file:
```
data_Dy5ErTm
_cell_length_a 5.741
_cell_length_b 8.590
_cell_length_c 11.902
_cell_angle_alpha 90.00
_cell_angle_beta 90.00
_cell_angle_gamma 90.00
_symmetry_space_group_name_H-M 'I m m m'
_symmetry_Int_Tables_number 71
_symmetry_space_group_name_Hall '-I 2 2'
loop_
_atom_site_label
_atom_site_fract_x
_atom_site_fract_y
_atom_site_fract_z
_atom_site_occupancy
Dy1 0.000 0.000 0.000 1
Dy2 0.000 0.177 0.500 1
Dy3 0.000 0.500 0.255 1
Er1 0.000 0.500 0.500 1
Tm1 0.000 0.500 0.000 1
```

Calculated values
* offset from the most stable computed form: 912.8 meV/atom
* E_tot: -0.255 Ry per atom

=====

Record 4
Compound: Dy4Er8Tm
Source: Alexandria
Functional: PBE-GGA
Structure: optimized geometry

CIF file:
```
data_Dy4Er8Tm
_cell_length_a 7.1972
_cell_length_b 7.1972
_cell_length_c 27.0777
_cell_angle_alpha 90.00
_cell_angle_beta 90.00
_cell_angle_gamma 120.00
_symmetry_space_group_name_H-M 'R -3 m'
_symmetry_Int_Tables_number 166
_symmetry_space_group_name_Hall '-R 3 2"'
loop_
_atom_site_label
_atom_site_fract_x
_atom_site_fract_y
_atom_site_fract_z
_atom_site_occupancy
Dy1 0.0000 0.0000 0.0000 1
Dy2 0.0000 0.5000 0.0000 1
Er1 0.0000 0.0000 0.2151 1
Er2 0.0348 0.5174 0.7672 1
Tm1 0.0000 0.0000 0.5000 1
```

Calculated values
* E_tot: -0.319 Ry per atom